Density functional theory data (PBE) for a relaxed structure of Pr6Sb5Cl.

**V**: 32.68 A^3/atom
**Total energy**: -5.527 eV/atom
**Spin magnetization**: 0.000 μB per formula unit
**Density of states at the Fermi level**: 6.38 states/eV/cell

The structure in CIF format:
```
data_Pr6Sb5Cl
_chemical_formula_sum 'Pr12 Sb10 Cl2'
_space_group_name_H-M_alt 'C 1 2/m 1'
_space_group_IT_number 12
_cell_length_a 7.841
_cell_length_b 13.561
_cell_length_c 7.825
_cell_angle_alpha 90.00
_cell_angle_beta 109.52
_cell_angle_gamma 90.00
loop_
_space_group_symop_operation_xyz
'x,y,z'
'-x,-y,-z'
'-x,y,-z'
'x,-y,z'
'x+1/2,y+1/2,z'
'-x+1/2,-y+1/2,-z'
'-x+1/2,y+1/2,-z'
'x+1/2,-y+1/2,z'
loop_
_atom_site_label
_atom_site_type_symbol
_atom_site_fract_x
_atom_site_fract_y
_atom_site_fract_z
_atom_site_occupancy
Pr1 Pr 0.245 0.000 0.255 1
Pr2 Pr 0.246 0.170 0.748 1
Sb1 Sb 0.000 0.000 0.500 1
Sb2 Sb 0.000 0.167 0.000 1
Sb3 Sb 0.000 0.334 0.500 1
Cl1 Cl 0.000 0.500 0.000 1
```

=====

Density functional theory data (PBE) for a relaxed structure of Tb6PmSm3Y2.

**Formation energy**: 14 meV/atom
**V**: 32.63 A^3/atom
**Spin magnetization**: 0.000 μB per formula unit
**Density of states at the Fermi level**: 31.38 states/eV/cell

The structure in CIF format:
```
data_Tb6PmSm3Y2
_chemical_formula_sum 'Tb12 Pm2 Sm6 Y4'
_space_group_name_H-M_alt 'C 1 2/m 1'
_space_group_IT_number 12
_cell_length_a 6.215
_cell_length_b 10.757
_cell_length_c 11.893
_cell_angle_alpha 90.00
_cell_angle_beta 99.98
_cell_angle_gamma 90.00
loop_
_space_group_symop_operation_xyz
'x,y,z'
'-x,-y,-z'
'-x,y,-z'
'x,-y,z'
'x+1/2,y+1/2,z'
'-x+1/2,-y+1/2,-z'
'-x+1/2,y+1/2,-z'
'x+1/2,-y+1/2,z'
loop_
_atom_site_label
_atom_site_type_symbol
_atom_site_fract_x
_atom_site_fract_y
_atom_site_fract_z
_atom_site_occupancy
Tb1 Tb 0.250 0.000 0.249 1
Tb2 Tb 0.250 0.167 0.751 1
Pm1 Pm 0.000 0.500 0.000 1
Sm1 Sm 0.000 0.000 0.500 1
Sm2 Sm 0.000 0.333 0.500 1
Y1 Y 0.000 0.167 0.000 1
```

=====

Density functional theory data (PBE) for a relaxed structure of Ac12In5Pb2.

**Formation energy**: -151 meV/atom
**V**: 42.54 A^3/atom
**Spin magnetization**: 0.272 μB per formula unit
**Density of states at the Fermi level**: 45.64 states/eV/cell

The structure in CIF format:
```
data_Ac12In5Pb2
_chemical_formula_sum 'Ac24 In10 Pb4'
_space_group_name_H-M_alt 'C 1 2/m 1'
_space_group_IT_number 12
_cell_length_a 19.118
_cell_length_b 7.837
_cell_length_c 11.046
_cell_angle_alpha 90.00
_cell_angle_beta 102.39
_cell_angle_gamma 90.00
loop_
_space_group_symop_operation_xyz
'x,y,z'
'-x,-y,-z'
'-x,y,-z'
'x,-y,z'
'x+1/2,y+1/2,z'
'-x+1/2,-y+1/2,-z'
'-x+1/2,y+1/2,-z'
'x+1/2,-y+1/2,z'
loop_
_atom_site_label
_atom_site_type_symbol
_atom_site_fract_x
_atom_site_fract_y
_atom_site_fract_z
_atom_site_occupancy
Ac1 Ac 0.012 0.000 0.288 1
Ac2 Ac 0.069 0.500 0.816 1
Ac3 Ac 0.149 0.248 0.566 1
Ac4 Ac 0.179 0.244 0.108 1
In1 In 0.000 0.500 0.500 1
In2 In 0.167 0.000 0.836 1
In3 In 0.202 0.000 0.357 1
Pb1 Pb 0.000 0.213 0.000 1
```

=====

Density functional theory data (PBE) for a relaxed structure of Ni2TeOs.

**V**: 14.57 A^3/atom
**Total energy**: -5.936 eV/atom
**Spin magnetization**: 0.003 μB per formula unit
**Density of states at the Fermi level**: 10.92 states/eV/cell

The structure in CIF format:
```
data_Ni2TeOs
_chemical_formula_sum 'Ni4 Te2 Os2'
_space_group_name_H-M_alt 'I m m m'
_space_group_IT_number 71
_space_group_name_Hall '-I 2 2'
_cell_length_a 3.161
_cell_length_b 4.386
_cell_length_c 8.404
_cell_angle_alpha 90.00
_cell_angle_beta 90.00
_cell_angle_gamma 90.00
loop_
_atom_site_label
_atom_site_type_symbol
_atom_site_fract_x
_atom_site_fract_y
_atom_site_fract_z
_atom_site_occupancy
Ni1 Ni 0.000 0.000 0.236 1
Te1 Te 0.000 0.500 0.500 1
Os1 Os 0.000 0.500 0.000 1
```